Entry 1:
DFT (PBE) results for an optimized crystal structure of Cr2CdRu.

Cell: 3.904 3.953 3.920 Å, 90.00 90.00 90.00°
Element x y z (fractional)
Ru: 0.500 0.000 0.500
Cd: 0.000 0.500 0.500
Cr: 0.500 0.500 0.000
Cr: 0.000 0.000 0.000

Calculated values
Symmetry   Pmmm (47)
Theoretical density   8.71 g cm⁻³
Uncorrected energy   -6.947 eV/atom
Energy of formation from the pure elements   412 meV/atom

Entry 2:
DFT (PBE) results for an optimized crystal structure of ZnAuSe.

Cell: 5.469 3.907 6.963 Å, 90.00 105.37 90.00°
Element x y z (fractional)
Zn: 0.657 0.500 0.177
Zn: 0.657 0.000 0.677
Se: 0.845 0.500 0.540
Se: 0.845 0.000 0.040
Au: 0.322 0.000 0.055
Au: 0.322 0.500 0.555

Calculated values
Symmetry   Cm (8)
Theoretical density   7.90 g cm⁻³
Uncorrected energy   -2.783 eV/atom
Energy above the most stable polymorph in this dataset   0.26 eV per formula unit
Formation energy from raw total energies   -0.1047 eV per atom

Entry 3:
DFT (PBE) results for an optimized crystal structure of YMn2Co.

Cell: 4.149 3.069 5.467 Å, 74.94 90.00 90.00°
Element x y z (fractional)
Y: 0.500 0.250 0.250
Co: 0.500 0.750 0.750
Mn: 0.000 0.580 0.547
Mn: 0.000 0.920 0.953

Calculated values
Symmetry   P2/m (10)
Theoretical density   6.37 g cm⁻³
Uncorrected energy   -7.703 eV/atom
Energy above the most stable polymorph in this dataset   0.69 eV per formula unit
Energy of formation from the pure elements   274 meV/atom

Entry 4:
DFT (PBE) results for an optimized crystal structure of Zn2Ir2Ru.

Cell: 7.077 7.077 7.077 Å, 152.26 152.26 39.64°
Element x y z (fractional)
Ir: 0.402 0.402 0.000
Ir: 0.598 0.598 0.000
Zn: 0.250 0.750 0.500
Zn: 0.750 0.250 0.500
Ru: 0.000 0.000 0.000

Calculated values
Symmetry   I4/mmm (139)
Theoretical density   13.35 g cm⁻³
Uncorrected energy   -5.492 eV/atom
Energy above the most stable polymorph in this dataset   0.74 eV per formula unit
Energy of formation from the pure elements   417 meV/atom

Entry 5:
DFT (PBE) results for an optimized crystal structure of Ca2CePaP4.

Cell: 4.113 7.125 7.038 Å, 109.65 90.00 90.00°
Element x y z (fractional)
P: 0.500 0.254 0.232
P: 0.500 0.746 0.768
P: 0.000 0.265 0.770
P: 0.000 0.735 0.230
Pa: 0.500 0.500 0.000
Ca: 0.000 0.500 0.500
Ca: 0.500 0.000 0.500
Ce: 0.000 0.000 0.000

Calculated values
Symmetry   P2/m (10)
Theoretical density   4.92 g cm⁻³
Uncorrected energy   -6.435 eV/atom
Energy of formation from the pure elements   -1301 meV/atom

Entry 6:
DFT (PBE) results for an optimized crystal structure of ZrScH2W.

Cell: 3.912 5.206 3.912 Å, 90.00 90.00 90.00°
Element x y z (fractional)
H: 0.500 0.000 0.000
H: 0.000 0.000 0.500
W: 0.000 0.500 0.000
Zr: 0.000 0.000 0.000
Sc: 0.500 0.500 0.500

Calculated values
Symmetry   P4/mmm (123)
Theoretical density   6.71 g cm⁻³
Uncorrected energy   -6.332 eV/atom

Entry 7:
DFT (PBE) results for an optimized crystal structure of NdAs2Pd4.

Cell: 4.092 7.821 7.821 Å, 90.00 90.00 90.00°
Element x y z (fractional)
Pd: 0.000 0.911 0.660
Pd: 0.000 0.089 0.340
Pd: 0.500 0.840 0.411
Pd: 0.000 0.660 0.911
Pd: 0.000 0.340 0.089
Pd: 0.500 0.160 0.589
Pd: 0.500 0.589 0.160
Pd: 0.500 0.411 0.840
Nd: 0.000 0.500 0.500
Nd: 0.500 0.000 0.000
As: 0.000 0.220 0.780
As: 0.500 0.720 0.720
As: 0.500 0.280 0.280
As: 0.000 0.780 0.220

Calculated values
Symmetry   P4_2/mnm (136)
Theoretical density   9.55 g cm⁻³
Uncorrected energy   -5.730 eV/atom
Energy above the most stable polymorph in this dataset   0.00 eV per formula unit
Energy of formation from the pure elements   -753 meV/atom

Entry 8:
DFT (PBE) results for an optimized crystal structure of Pm4Te4Se.

Cell: 7.435 7.435 8.351 Å, 116.43 116.43 90.00°
Element x y z (fractional)
Pm: 0.919 0.346 0.265
Pm: 0.654 0.654 0.735
Pm: 0.346 0.919 0.265
Pm: 0.081 0.081 0.735
Te: 0.301 0.301 0.601
Te: 0.000 0.500 0.000
Te: 0.699 0.699 0.399
Te: 0.500 0.000 0.000
Se: 0.000 0.000 0.000

Calculated values
Symmetry   I-42m (121)
Theoretical density   5.41 g cm⁻³
Uncorrected energy   -5.114 eV/atom
Formation energy from raw total energies   -1.2192 eV per atom

Entry 9:
DFT (PBE) results for an optimized crystal structure of BaTlPd3.

Cell: 5.456 5.456 5.456 Å, 90.00 90.00 90.00°
Element x y z (fractional)
Pd: 0.000 0.500 0.000
Pd: 0.000 0.000 0.500
Pd: 0.500 0.000 0.000
Tl: 0.500 0.500 0.500
Ba: 0.000 0.000 0.000

Calculated values
Symmetry   Pm-3m (221)
Theoretical density   6.76 g cm⁻³
Uncorrected energy   -3.183 eV/atom
Energy above the most stable polymorph in this dataset   5.99 eV per formula unit
Energy of formation from the pure elements   790 meV/atom

Entry 10:
DFT (PBE) results for an optimized crystal structure of Pm4IrSe2S.

Cell: 4.102 7.329 7.256 Å, 71.10 90.00 90.00°
Element x y z (fractional)
S: 0.000 0.500 0.500
Pm: 0.500 0.266 0.748
Pm: 0.000 0.727 0.765
Pm: 0.500 0.734 0.252
Pm: 0.000 0.273 0.235
Ir: 0.500 0.500 0.000
Se: 0.000 0.000 0.000
Se: 0.500 0.000 0.500

Calculated values
Symmetry   P2/m (10)
Theoretical density   7.74 g cm⁻³
Uncorrected energy   -6.454 eV/atom
Formation energy from raw total energies   -1.5845 eV per atom

Entry 11:
DFT (PBE) results for an optimized crystal structure of InSn2Pd.

Cell: 4.771 4.771 9.586 Å, 75.59 75.59 90.00°
Element x y z (fractional)
Pd: 0.250 0.750 0.500
Pd: 0.500 0.500 0.000
Sn: 0.375 0.429 0.750
Sn: 0.571 0.125 0.250
Sn: 0.179 0.625 0.250
Sn: 0.875 0.821 0.750
In: 0.750 0.250 0.500
In: 0.000 0.000 0.000

Calculated values
Symmetry   I-42d (122)
Theoretical density   7.46 g cm⁻³
Uncorrected energy   -4.037 eV/atom
Energy of formation from the pure elements   -53 meV/atom

Entry 12:
DFT (PBE) results for an optimized crystal structure of CsAgPb6.

Cell: 5.067 5.067 10.997 Å, 90.00 90.00 90.00°
Element x y z (fractional)
Pb: 0.500 0.500 0.846
Pb: 0.500 0.500 0.154
Pb: 0.000 0.500 0.337
Pb: 0.500 0.000 0.663
Pb: 0.500 0.000 0.337
Pb: 0.000 0.500 0.663
Ag: 0.000 0.000 0.500
Cs: 0.000 0.000 0.000

Calculated values
Symmetry   P4/mmm (123)
Theoretical density   8.73 g cm⁻³
Uncorrected energy   -3.279 eV/atom
Energy of formation from the pure elements   -35 meV/atom

Entry 13:
DFT (PBE) results for an optimized crystal structure of Er4GeP3.

Cell: 5.660 5.660 5.660 Å, 90.00 90.00 90.00°
Element x y z (fractional)
Er: 0.500 0.000 0.000
Er: 0.000 0.000 0.500
Er: 0.000 0.500 0.000
Er: 0.500 0.500 0.500
Ge: 0.000 0.000 0.000
P: 0.500 0.000 0.500
P: 0.500 0.500 0.000
P: 0.000 0.500 0.500

Calculated values
Symmetry   Pm-3m (221)
Theoretical density   7.64 g cm⁻³
Uncorrected energy   -6.228 eV/atom
Energy of formation from the pure elements   -1341 meV/atom

Entry 14:
DFT (PBE) results for an optimized crystal structure of Th3ZnCo4.

Cell: 3.968 5.329 8.243 Å, 108.84 103.93 90.03°
Element x y z (fractional)
Co: 0.124 0.408 0.248
Co: 0.876 0.160 0.752
Co: 0.124 0.840 0.248
Co: 0.876 0.592 0.752
Th: 0.311 0.810 0.621
Th: 0.689 0.190 0.379
Th: 0.500 0.500 0.000
Zn: 0.000 0.000 0.000

Calculated values
Symmetry   Immm (71)
Theoretical density   10.38 g cm⁻³
Uncorrected energy   -6.727 eV/atom
Energy of formation from the pure elements   -232 meV/atom

Entry 15:
DFT (PBE) results for an optimized crystal structure of Pr2Mg3Ni2.

Cell: 4.016 5.636 7.514 Å, 96.15 90.00 110.87°
Element x y z (fractional)
Ni: 0.080 0.159 0.640
Ni: 0.920 0.841 0.360
Pr: 0.374 0.749 0.641
Pr: 0.626 0.251 0.359
Mg: 0.679 0.358 0.857
Mg: 0.000 0.000 0.000
Mg: 0.321 0.642 0.143

Calculated values
Symmetry   C2/m (12)
Theoretical density   4.97 g cm⁻³
Uncorrected energy   -3.910 eV/atom
Energy of formation from the pure elements   -209 meV/atom

Entry 16:
DFT (PBE) results for an optimized crystal structure of DyPd6Au6.

Cell: 5.468 7.102 7.102 Å, 81.04 67.36 67.36°
Element x y z (fractional)
Au: 0.000 0.332 0.668
Au: 0.659 0.341 0.341
Au: 0.341 0.659 0.659
Au: 0.000 0.668 0.332
Au: 0.313 0.187 0.187
Au: 0.687 0.813 0.813
Pd: 0.500 0.000 0.500
Pd: 0.500 0.236 0.764
Pd: 0.500 0.764 0.236
Pd: 0.500 0.500 0.000
Pd: 0.000 0.000 0.500
Pd: 0.000 0.500 0.000
Dy: 0.000 0.000 0.000

Calculated values
Symmetry   Immm (71)
Theoretical density   14.02 g cm⁻³
Uncorrected energy   -4.530 eV/atom
Energy of formation from the pure elements   -267 meV/atom

Entry 17:
DFT (PBE) results for an optimized crystal structure of VZnRh.

Cell: 3.056 3.056 8.933 Å, 90.00 90.00 90.01°
Element x y z (fractional)
Zn: 0.305 0.695 0.500
Zn: 0.806 0.194 0.000
Rh: 0.806 0.194 0.675
Rh: 0.806 0.194 0.325
V: 0.306 0.694 0.170
V: 0.306 0.694 0.830

Calculated values
Symmetry   P4/mmm (123)
Theoretical density   8.73 g cm⁻³
Uncorrected energy   -6.187 eV/atom
Energy of formation from the pure elements   -272 meV/atom

Entry 18:
DFT (PBE) results for an optimized crystal structure of BeOsRu2.

Cell: 4.909 4.909 4.288 Å, 64.10 64.10 33.24°
Element x y z (fractional)
Ru: 0.001 0.001 0.999
Ru: 0.219 0.219 0.281
Be: 0.501 0.501 0.499
Os: 0.779 0.779 0.721

Calculated values
Symmetry   Imm2 (44)
Theoretical density   13.22 g cm⁻³
Uncorrected energy   -8.397 eV/atom
Energy of formation from the pure elements   -20 meV/atom

Entry 19:
DFT (PBE) results for an optimized crystal structure of PmGdSc2.

Cell: 4.625 4.968 4.968 Å, 90.00 90.00 90.00°
Element x y z (fractional)
Gd: 0.500 0.000 0.000
Sc: 0.000 0.000 0.500
Sc: 0.000 0.500 0.000
Pm: 0.500 0.500 0.500

Calculated values
Symmetry   P4/mmm (123)
Theoretical density   5.70 g cm⁻³
Uncorrected energy   -7.823 eV/atom
Energy above the most stable polymorph in this dataset   0.00 eV per formula unit
Energy of formation from the pure elements   50 meV/atom

Entry 20:
DFT (PBE) results for an optimized crystal structure of RbLiAs.

Cell: 4.836 4.195 11.559 Å, 90.22 98.11 64.28°
Element x y z (fractional)
Rb: 0.345 0.824 0.706
Rb: 0.655 0.176 0.294
As: 0.069 0.464 0.901
As: 0.931 0.536 0.099
Li: 0.304 0.849 0.042
Li: 0.696 0.151 0.958

Calculated values
Symmetry   P-1 (2)
Theoretical density   2.66 g cm⁻³
Uncorrected energy   -2.967 eV/atom
Energy above the most stable polymorph in this dataset   0.00 eV per formula unit
Energy of formation from the pure elements   -457 meV/atom